The following is a DFT calculation (PBE) of a relaxed CaRhOF2 crystal.

calculated volume	18.72	Å³/atom
N(E_F)	5.83	states/eV/cell
spin magnetization	1.02	μB/f.u.
energy above the most stable polymorph in this dataset	409	meV/atom

Cell: 3.8317 3.8317 6.3751 Å, 90.00 90.00 90.00°
With the nearest neighbours (Å) after each atom.
Space group P4/mmm (No. 123)
Asymmetric unit:
Ca 0.0000 0.0000 0.0000 (multiplicity 1)  4 O 2.71
Rh 0.0000 0.0000 0.5000 (multiplicity 1)  4 F 1.92
O 0.5000 0.5000 0.0000 (multiplicity 1)  4 Ca 2.71
F 0.0000 0.5000 0.5000 (multiplicity 2)  2 Rh 1.92